[1]
A plane-wave DFT calculation with PBE was carried out for CsAlIn after structural relaxation.

Cell: 4.5089 4.9834 13.3683 Å, 88.18 83.80 63.18°
Sites, in units of the cell vectors:
Cs (0.2316, 0.2335, 0.1908)
Cs (0.7684, 0.7665, 0.8092)
Al (0.2267, 0.0047, 0.5649)
Al (0.7733, 0.9953, 0.4351)
In (0.4786, 0.6144, 0.3881)
In (0.5214, 0.3856, 0.6119)

Results
Fermi-level density of states	2.09	states/eV per cell
theoretical density	3.4	g/cm3
formation energy from the elements	0.0211	eV per atom
energy above the most stable polymorph in this dataset	29	meV per atom

---

[2]
A plane-wave DFT calculation with PBE was carried out for HfMn2OsC after structural relaxation.

Cell: 3.9188 3.9188 4.0919 Å, 90.00 90.00 90.00°
Sites, in units of the cell vectors:
Hf (0.0000, 0.0000, 0.0000)
Mn (0.0000, 0.5000, 0.5000)
Mn (0.5000, 0.0000, 0.5000)
Os (0.5000, 0.5000, 0.0000)
C (0.5000, 0.5000, 0.5000)

Results
Fermi-level density of states	3.32	states/eV per cell
theoretical density	13.0	g/cm3
formation energy from the elements	-0.1936	eV per atom

---

[3]
A plane-wave DFT calculation with PBE was carried out for Be2IrAu after structural relaxation.

Cell: 2.9362 2.9362 5.6740 Å, 90.00 90.00 90.00°
Sites, in units of the cell vectors:
Be (0.0000, 0.0000, 0.0000)
Be (0.5000, 0.5000, 0.2179)
Ir (0.0000, 0.0000, 0.3992)
Au (0.5000, 0.5000, 0.7693)

Results
Fermi-level density of states	0.99	states/eV per cell
theoretical density	13.8	g/cm3
formation energy from the elements	-0.2526	eV per atom

---

[4]
A plane-wave DFT calculation with PBE was carried out for Cs3Na2Hg7 after structural relaxation.

Cell: 11.2647 11.2647 11.2647 Å, 35.41 35.41 35.41°
Sites, in units of the cell vectors:
Cs (0.0000, 0.0000, 0.0000)
Cs (0.1430, 0.1430, 0.1430)
Cs (0.8570, 0.8570, 0.8570)
Na (0.3326, 0.3326, 0.3326)
Na (0.6674, 0.6674, 0.6674)
Hg (0.0795, 0.5802, 0.5802)
Hg (0.4198, 0.4198, 0.9205)
Hg (0.4198, 0.9205, 0.4198)
Hg (0.5000, 0.5000, 0.5000)
Hg (0.5802, 0.0795, 0.5802)
Hg (0.5802, 0.5802, 0.0795)
Hg (0.9205, 0.4198, 0.4198)

Results
Fermi-level density of states	6.17	states/eV per cell
theoretical density	7.2	g/cm3
formation energy from the elements	-0.2119	eV per atom

---

[5]
A plane-wave DFT calculation with PBE was carried out for ScAlSn2I after structural relaxation.

Cell: 5.2271 5.2271 5.6155 Å, 90.00 90.00 90.00°
Sites, in units of the cell vectors:
Sc (0.0000, 0.0000, 0.0000)
Al (0.5000, 0.5000, 0.5000)
Sn (0.0000, 0.5000, 0.5000)
Sn (0.5000, 0.0000, 0.5000)
I (0.5000, 0.5000, 0.0000)

Results
Fermi-level density of states	5.21	states/eV per cell
theoretical density	4.7	g/cm3
calculated total energy	-17.6	eV for the cell shown

---

[6]
A plane-wave DFT calculation with PBE was carried out for LiCe4Os2 after structural relaxation.

Cell: 6.8340 7.4808 7.7526 Å, 108.24 105.65 107.68°
Sites, in units of the cell vectors:
Li (0.0000, 0.0000, 0.0000)
Li (0.2019, 0.7577, 0.5533)
Ce (0.1089, 0.1581, 0.7300)
Ce (0.2584, 0.5733, 0.1594)
Ce (0.3336, 0.1236, 0.3914)
Ce (0.4559, 0.9242, 0.9743)
Ce (0.6708, 0.6528, 0.5794)
Ce (0.6810, 0.2577, 0.7803)
Ce (0.7462, 0.6404, 0.0944)
Ce (0.8936, 0.3059, 0.3781)
Os (0.0257, 0.6062, 0.8266)
Os (0.3474, 0.4960, 0.7141)
Os (0.4773, 0.3033, 0.1466)
Os (0.6679, 0.9451, 0.3930)

Results
Fermi-level density of states	29.41	states/eV per cell
theoretical density	9.6	g/cm3
formation energy from the elements	-0.0459	eV per atom

---

[7]
A plane-wave DFT calculation with PBE was carried out for La2ErP2Cl2 after structural relaxation.

Cell: 8.2838 8.2838 8.2838 Å, 142.99 142.99 53.35°
Sites, in units of the cell vectors:
La (0.1098, 0.1098, 0.0000)
La (0.8902, 0.8902, 0.0000)
Er (0.5000, 0.5000, 0.0000)
P (0.0000, 0.5000, 0.5000)
P (0.5000, 0.0000, 0.5000)
Cl (0.3083, 0.3083, 0.0000)
Cl (0.6917, 0.6917, 0.0000)

Results
Fermi-level density of states	3.76	states/eV per cell
theoretical density	4.7	g/cm3
calculated total energy	-39.9	eV for the cell shown

---

[8]
A plane-wave DFT calculation with PBE was carried out for Li4TcOs after structural relaxation.

Cell: 4.6483 4.6483 4.6483 Å, 60.00 60.00 60.00°
Sites, in units of the cell vectors:
Li (0.1243, 0.1243, 0.1243)
Li (0.1243, 0.1243, 0.6272)
Li (0.1243, 0.6272, 0.1243)
Li (0.6272, 0.1243, 0.1243)
Tc (0.5000, 0.5000, 0.5000)
Os (0.7500, 0.7500, 0.7500)

Results
Fermi-level density of states	3.61	states/eV per cell
theoretical density	7.4	g/cm3
formation energy from the elements	0.3861	eV per atom

---

[9]
A plane-wave DFT calculation with PBE was carried out for RbIn2AgIr after structural relaxation.

Cell: 5.1711 5.1711 5.5227 Å, 90.00 90.00 90.00°
Sites, in units of the cell vectors:
Rb (0.0000, 0.0000, 0.0000)
In (0.0000, 0.5000, 0.5000)
In (0.5000, 0.0000, 0.5000)
Ag (0.5000, 0.5000, 0.0000)
Ir (0.5000, 0.5000, 0.5000)

Results
Fermi-level density of states	1.46	states/eV per cell
theoretical density	6.9	g/cm3
formation energy from the elements	-0.0273	eV per atom

---

[10]
A plane-wave DFT calculation with PBE was carried out for Sb3Au2 after structural relaxation.

Cell: 6.7802 6.7802 6.9945 Å, 114.93 114.93 70.79°
Sites, in units of the cell vectors:
Sb (0.0655, 0.9345, 0.7500)
Sb (0.2627, 0.3798, 0.9421)
Sb (0.3798, 0.2627, 0.4421)
Sb (0.6202, 0.7373, 0.5579)
Sb (0.7373, 0.6202, 0.0579)
Sb (0.9345, 0.0655, 0.2500)
Au (0.1696, 0.6578, 0.3633)
Au (0.3422, 0.8304, 0.1367)
Au (0.6578, 0.1696, 0.8633)
Au (0.8304, 0.3422, 0.6367)

Results
Fermi-level density of states	4.63	states/eV per cell
theoretical density	9.7	g/cm3
calculated total energy	-37.8	eV for the cell shown

---

[11]
A plane-wave DFT calculation with PBE was carried out for MnCo2Os after structural relaxation.

Cell: 2.6258 2.6258 6.9641 Å, 90.00 90.00 90.00°
Sites, in units of the cell vectors:
Mn (0.0000, 0.0000, 0.0000)
Co (0.0000, 0.0000, 0.5233)
Co (0.5000, 0.5000, 0.7527)
Os (0.5000, 0.5000, 0.2604)

Results
Fermi-level density of states	5.21	states/eV per cell
theoretical density	12.6	g/cm3
formation energy from the elements	0.1418	eV per atom
energy above the most stable polymorph in this dataset	82	meV per atom

---

[12]
A plane-wave DFT calculation with PBE was carried out for Ce3MnTe after structural relaxation.

Cell: 5.0497 5.0497 5.0497 Å, 90.00 90.00 90.00°
Sites, in units of the cell vectors:
Ce (0.0000, 0.0000, 0.5000)
Ce (0.0000, 0.5000, 0.0000)
Ce (0.5000, 0.0000, 0.0000)
Mn (0.0000, 0.0000, 0.0000)
Te (0.5000, 0.5000, 0.5000)

Results
Fermi-level density of states	12.64	states/eV per cell
theoretical density	7.8	g/cm3
calculated total energy	-32.2	eV for the cell shown

---

- What is the theoretical density in the second record?
  13.0 g/cm3

---

- Which value of theoretical density does entry 1 give?
  3.4 g/cm3